(1)
Here is an optimized crystal structure of Rb2MnSCl6 from Alexandria via LeMat-Bulk. Energies are from GGA-PBE.

Unit cell a=7.7791 b=7.7791 c=7.1366 alpha=56.97 beta=56.97 gamma=90.00
Each line ends with the local moment (μB).
Sites, in units of the cell vectors:
S 0.5000 0.5000 0.0000  -0.43
Mn 0.0000 0.0000 0.0000  3.63
Rb 0.7500 0.2500 0.5000  0.00
Rb 0.2500 0.7500 0.5000  0.00
Cl 0.2572 0.2572 0.4856  -0.03
Cl 0.7428 0.7428 0.5144  -0.03
Cl 0.2148 0.2148 0.0000  -0.03
Cl 0.7852 0.7852 0.0000  -0.03
Cl 0.7852 0.2148 0.0000  -0.03
Cl 0.2148 0.7852 0.0000  -0.03

Values from the calculation:
Its total moment is 3.00 μB/cell.

(2)
Here is an optimized crystal structure of RbMnS2Cl from Alexandria via LeMat-Bulk. Energies are from GGA-PBE.

Unit cell a=5.4099 b=5.4099 c=5.7166 alpha=90.00 beta=90.00 gamma=90.00
Each line ends with the local moment (μB).
Sites, in units of the cell vectors:
S 0.0000 0.5000 0.0000  -0.14
S 0.5000 0.0000 0.0000  -0.14
Mn 0.5000 0.5000 0.5000  4.62
Rb 0.0000 0.0000 0.0000  -0.03
Cl 0.0000 0.0000 0.5000  0.03

Values from the calculation:
Its total moment is 4.68 μB/cell.

The evaluated uncorrected energy for the records listed, in turn: -36.739; -15.524 eV per formula unit.
The evaluated V for the records listed, in turn: 275.15; 167.31 Å³/cell.
The evaluated energy relative to the elements, uncorrected for the records listed, in turn: -100.6; 91.0 kJ/mol of atoms.